No. 1
# FeTcSe2 | the Alexandria database | GGA-PBE | relaxed
# Size of the total moment ... 0.6677 μB/atom
# Uncorrected energy ... -6.34 eV/atom
# E above lowest polymorph ... 134 kJ/mol of formula units
data_FeTcSe2
_symmetry_space_group_name_H-M 'I m m 2'
_symmetry_Int_Tables_number 44
_cell_length_a 3.223
_cell_length_b 3.278
_cell_length_c 12.861
_cell_angle_alpha 90.00
_cell_angle_beta 90.00
_cell_angle_gamma 90.00
loop_
_symmetry_equiv_pos_as_xyz
'x,y,z'
'-x,-y,z'
'-x,y,z'
'x,-y,z'
'x+1/2,y+1/2,z+1/2'
'-x+1/2,-y+1/2,z+1/2'
'-x+1/2,y+1/2,z+1/2'
'x+1/2,-y+1/2,z+1/2'
loop_
_atom_site_label
_atom_site_type_symbol
_atom_site_fract_x
_atom_site_fract_y
_atom_site_fract_z
Fe1 Fe 0.000 0.000 0.000
Tc1 Tc 0.000 0.500 0.297
Se1 Se 0.000 0.000 0.450
Se2 Se 0.000 0.500 0.700

=====

No. 2
# Zr2MnIr | the Alexandria database | GGA-PBE | relaxed
# Size of the total moment ... 0.7637 μB/atom
# Uncorrected energy ... -9.04 eV/atom
# Energy relative to the elements ... -1.0 eV per formula unit
data_Zr2MnIr
_symmetry_space_group_name_H-M 'F -4 3 m'
_symmetry_Int_Tables_number 216
_symmetry_space_group_name_Hall 'F -4 2 3'
_cell_length_a 6.528
_cell_length_b 6.528
_cell_length_c 6.528
_cell_angle_alpha 90.00
_cell_angle_beta 90.00
_cell_angle_gamma 90.00
loop_
_atom_site_label
_atom_site_type_symbol
_atom_site_fract_x
_atom_site_fract_y
_atom_site_fract_z
Zr1 Zr 0.000 0.000 0.000
Zr2 Zr 0.250 0.250 0.250
Mn1 Mn 0.000 0.000 0.500
Ir1 Ir 0.250 0.250 0.750

=====

No. 3
# La2PmTm8 | the Alexandria database | GGA-PBE | relaxed
# Size of the total moment ... 0.0000 μB/atom
# Uncorrected energy ... -4.54 eV/atom
# Energy relative to the elements ... 0.4 eV per formula unit
# E above lowest polymorph ... 0 kJ/mol of formula units
data_La2PmTm8
_symmetry_space_group_name_H-M 'C 1 2/m 1'
_symmetry_Int_Tables_number 12
_cell_length_a 18.102
_cell_length_b 5.038
_cell_length_c 7.940
_cell_angle_alpha 90.00
_cell_angle_beta 105.25
_cell_angle_gamma 90.00
loop_
_symmetry_equiv_pos_as_xyz
'x,y,z'
'-x,-y,-z'
'-x,y,-z'
'x,-y,z'
'x+1/2,y+1/2,z'
'-x+1/2,-y+1/2,-z'
'-x+1/2,y+1/2,-z'
'x+1/2,-y+1/2,z'
loop_
_atom_site_label
_atom_site_type_symbol
_atom_site_fract_x
_atom_site_fract_y
_atom_site_fract_z
La1 La 0.227 0.000 0.137
Pm1 Pm 0.000 0.500 0.500
Tm1 Tm 0.043 0.000 0.226
Tm2 Tm 0.089 0.500 0.954
Tm3 Tm 0.135 0.000 0.676
Tm4 Tm 0.181 0.500 0.406

=====

Which of these has the lowest size of the total moment?
La2PmTm8